Entry 1:
A plane-wave DFT calculation with PBE was carried out for a geometry-optimized Dy4Tl3Cu structure.

Lattice parameters (Å, degrees): 3.839 4.792 11.665 90.00 90.00 90.00
Fractional positions:
Dy (0.500, 0.500, 0.330)
Dy (0.000, 0.500, 0.873)
Dy (0.000, 0.000, 0.143)
Dy (0.500, 0.000, 0.652)
Tl (0.000, 0.500, 0.590)
Tl (0.000, 0.000, 0.412)
Tl (0.500, 0.000, 0.922)
Cu (0.500, 0.500, 0.078)

Output
Density   10.3 Mg/m³
ΔH_f (0 K)   -257 meV/atom
Offset from the most stable computed form   0.485 eV/f.u.

***

Entry 2:
A plane-wave DFT calculation with PBE was carried out for a geometry-optimized DyTlCu structure.

Lattice parameters (Å, degrees): 3.440 3.440 6.200 106.11 106.11 90.00
Fractional positions:
Tl (0.636, 0.636, 0.272)
Cu (0.284, 0.284, 0.567)
Dy (0.930, 0.930, 0.861)

Output
Density   10.6 Mg/m³
ΔH_f (0 K)   -93 meV/atom

***

Entry 3:
A plane-wave DFT calculation with PBE was carried out for a geometry-optimized Dy5Tl2Cu2 structure.

Lattice parameters (Å, degrees): 7.103 8.549 8.871 118.81 90.00 90.00
Fractional positions:
Dy (0.000, 0.000, 0.000)
Dy (0.500, 0.500, 0.000)
Dy (0.845, 0.808, 0.247)
Dy (0.155, 0.439, 0.247)
Dy (0.345, 0.939, 0.247)
Dy (0.655, 0.308, 0.247)
Dy (0.155, 0.192, 0.753)
Dy (0.845, 0.561, 0.753)
Dy (0.655, 0.061, 0.753)
Dy (0.345, 0.692, 0.753)
Tl (0.000, 0.213, 0.427)
Tl (0.500, 0.713, 0.427)
Tl (0.000, 0.787, 0.573)
Tl (0.500, 0.287, 0.573)
Cu (0.625, 0.887, 0.000)
Cu (0.375, 0.113, 0.000)
Cu (0.125, 0.613, 0.000)
Cu (0.875, 0.387, 0.000)

Output
Density   9.5 Mg/m³
ΔH_f (0 K)   -219 meV/atom

***

Entry 4:
A plane-wave DFT calculation with PBE was carried out for a geometry-optimized DyTlCu structure.

Lattice parameters (Å, degrees): 3.921 7.593 13.335 90.00 90.00 90.00
Fractional positions:
Dy (0.000, 0.228, 0.953)
Dy (0.000, 0.772, 0.047)
Dy (0.000, 0.228, 0.547)
Dy (0.000, 0.772, 0.453)
Dy (0.000, 0.152, 0.250)
Dy (0.000, 0.848, 0.750)
Tl (0.500, 0.426, 0.118)
Tl (0.500, 0.574, 0.882)
Tl (0.500, 0.426, 0.382)
Tl (0.500, 0.574, 0.618)
Tl (0.500, 0.818, 0.250)
Tl (0.500, 0.182, 0.750)
Cu (0.500, 0.056, 0.087)
Cu (0.500, 0.944, 0.913)
Cu (0.500, 0.056, 0.413)
Cu (0.500, 0.944, 0.587)
Cu (0.000, 0.560, 0.250)
Cu (0.000, 0.440, 0.750)

Output
Density   10.8 Mg/m³
ΔH_f (0 K)   -264 meV/atom

***

Entry 5:
A plane-wave DFT calculation with PBE was carried out for a geometry-optimized Dy4Tl3Cu structure.

Lattice parameters (Å, degrees): 3.575 3.575 16.113 90.00 90.00 90.00
Fractional positions:
Tl (0.500, 0.500, 0.236)
Tl (0.500, 0.500, 0.500)
Tl (0.500, 0.500, 0.764)
Cu (0.500, 0.500, 0.000)
Dy (0.000, 0.000, 0.896)
Dy (0.000, 0.000, 0.104)
Dy (0.000, 0.000, 0.368)
Dy (0.000, 0.000, 0.632)

Output
Density   10.7 Mg/m³
ΔH_f (0 K)   -317 meV/atom
Offset from the most stable computed form   0.000 eV/f.u.

***

Entry 6:
A plane-wave DFT calculation with PBE was carried out for a geometry-optimized Dy6TlCu structure.

Lattice parameters (Å, degrees): 7.240 7.247 6.927 58.55 58.61 59.99
Fractional positions:
Dy (0.029, 0.437, 0.761)
Dy (0.772, 0.029, 0.761)
Dy (0.563, 0.227, 0.239)
Dy (0.228, 0.971, 0.239)
Dy (0.971, 0.563, 0.239)
Dy (0.437, 0.773, 0.761)
Tl (0.500, 0.500, 0.500)
Cu (0.000, 0.000, 0.000)

Output
Density   8.2 Mg/m³
ΔH_f (0 K)   140 meV/atom

***

Entry 7:
A plane-wave DFT calculation with PBE was carried out for a geometry-optimized Dy11Tl9Cu4 structure.

Lattice parameters (Å, degrees): 3.750 13.176 13.176 112.60 90.00 90.00
Fractional positions:
Dy (0.000, 0.583, 0.920)
Dy (0.000, 0.417, 0.080)
Dy (0.000, 0.920, 0.583)
Dy (0.000, 0.080, 0.417)
Dy (0.000, 0.628, 0.372)
Dy (0.000, 0.372, 0.628)
Dy (0.000, 0.837, 0.163)
Dy (0.000, 0.163, 0.837)
Dy (0.000, 0.000, 0.000)
Dy (0.000, 0.693, 0.693)
Dy (0.000, 0.307, 0.307)
Tl (0.500, 0.630, 0.151)
Tl (0.500, 0.370, 0.849)
Tl (0.500, 0.151, 0.630)
Tl (0.500, 0.849, 0.370)
Tl (0.500, 0.783, 0.931)
Tl (0.500, 0.217, 0.069)
Tl (0.500, 0.931, 0.783)
Tl (0.500, 0.069, 0.217)
Tl (0.500, 0.500, 0.500)
Cu (0.500, 0.549, 0.746)
Cu (0.500, 0.451, 0.254)
Cu (0.500, 0.746, 0.549)
Cu (0.500, 0.254, 0.451)

Output
Density   10.7 Mg/m³
ΔH_f (0 K)   -325 meV/atom

***

Entry 8:
A plane-wave DFT calculation with PBE was carried out for a geometry-optimized Dy5TlCu4 structure.

Lattice parameters (Å, degrees): 3.483 3.483 18.263 90.00 90.00 90.00
Fractional positions:
Dy (0.500, 0.500, 0.121)
Dy (0.500, 0.500, 0.310)
Dy (0.500, 0.500, 0.500)
Dy (0.500, 0.500, 0.690)
Dy (0.500, 0.500, 0.879)
Tl (0.000, 0.000, 0.000)
Cu (0.000, 0.000, 0.215)
Cu (0.000, 0.000, 0.405)
Cu (0.000, 0.000, 0.595)
Cu (0.000, 0.000, 0.785)

Output
Density   9.5 Mg/m³
ΔH_f (0 K)   -262 meV/atom

***

Entry 9:
A plane-wave DFT calculation with PBE was carried out for a geometry-optimized Dy3Tl2Cu structure.

Lattice parameters (Å, degrees): 6.319 6.621 8.231 102.39 112.57 90.00
Fractional positions:
Dy (0.641, 0.250, 0.000)
Dy (0.359, 0.750, 0.000)
Dy (0.256, 0.095, 0.316)
Dy (0.940, 0.405, 0.684)
Dy (0.060, 0.595, 0.316)
Dy (0.744, 0.905, 0.684)
Tl (0.558, 0.545, 0.329)
Tl (0.771, 0.045, 0.329)
Tl (0.229, 0.955, 0.671)
Tl (0.442, 0.455, 0.671)
Cu (0.863, 0.750, 0.000)
Cu (0.137, 0.250, 0.000)

Output
Density   10.3 Mg/m³
ΔH_f (0 K)   -190 meV/atom
Offset from the most stable computed form   0.715 eV/f.u.

***

Entry 10:
A plane-wave DFT calculation with PBE was carried out for a geometry-optimized DyTl2Cu structure.

Lattice parameters (Å, degrees): 4.281 4.682 4.682 90.00 90.00 90.00
Fractional positions:
Tl (0.000, 0.000, 0.500)
Tl (0.000, 0.500, 0.000)
Cu (0.500, 0.000, 0.000)
Dy (0.500, 0.500, 0.500)

Output
Density   11.2 Mg/m³
ΔH_f (0 K)   -71 meV/atom
Offset from the most stable computed form   0.000 eV/f.u.

***

Entry 11:
A plane-wave DFT calculation with PBE was carried out for a geometry-optimized Dy4TlCu2 structure.

Lattice parameters (Å, degrees): 4.858 4.858 9.527 75.23 75.23 60.00
Fractional positions:
Dy (0.385, 0.385, 0.845)
Dy (0.203, 0.203, 0.392)
Dy (0.797, 0.797, 0.608)
Dy (0.615, 0.615, 0.155)
Tl (0.000, 0.000, 0.000)
Cu (0.100, 0.100, 0.700)
Cu (0.900, 0.900, 0.300)

Output
Density   8.8 Mg/m³
ΔH_f (0 K)   -33 meV/atom

***

Entry 12:
A plane-wave DFT calculation with PBE was carried out for a geometry-optimized DyTmTlCu structure.

Lattice parameters (Å, degrees): 5.140 5.140 5.140 60.00 60.00 60.00
Fractional positions:
Tl (0.750, 0.750, 0.750)
Tm (0.500, 0.500, 0.500)
Cu (0.250, 0.250, 0.250)
Dy (0.000, 0.000, 0.000)

Output
Density   10.4 Mg/m³
ΔH_f (0 K)   -248 meV/atom

***

Number 1: E_tot -31.66 eV for the cell shown, magnetization 0.001 μB per cell. Number 2: E_tot -11.34 eV for the cell shown, magnetization 0.000 μB per cell. Number 3: E_tot -75.81 eV for the cell shown, magnetization 0.000 μB per cell. Number 4: E_tot -71.13 eV for the cell shown, magnetization 0.000 μB per cell. Number 5: E_tot -32.14 eV for the cell shown, magnetization 0.125 μB per cell. Number 6: E_tot -32.95 eV for the cell shown, magnetization 0.000 μB per cell. Number 7: E_tot -96.09 eV for the cell shown, magnetization 0.001 μB per cell. Number 8: E_tot -44.38 eV for the cell shown, magnetization 0.000 μB per cell. Number 9: E_tot -47.56 eV for the cell shown, magnetization 0.000 μB per cell. Number 10: E_tot -13.71 eV for the cell shown, magnetization 0.000 μB per cell. Number 11: E_tot -29.20 eV for the cell shown, magnetization 0.000 μB per cell. Number 12: E_tot -16.53 eV for the cell shown, magnetization 0.000 μB per cell.